(1)
Below is a relaxed CeS5Cl crystal, with properties calculated at the PBE level.

Cell: 5.4668 5.0416 8.4313 Å, 107.42 108.94 89.91°
Closest atoms and distances in Å follow each position.
Positions (direct):
S (0.3326, 0.1677, 0.7363)  1 S 2.06
S (0.8751, 0.2465, 0.0529)  1 S 2.01
S (0.1778, 0.8064, 0.0529)  1 S 2.01
S (0.4037, 0.5687, 0.7364)  1 S 2.06
S (0.1030, 0.6030, 0.2059)  2 S 2.01
Ce (0.8622, 0.3622, 0.7243)  4 S 2.73-2.98, 2 Cl 2.84
Cl (0.7763, 0.7763, 0.5526)  2 Ce 2.84

Values from the calculation:
Density of states at the Fermi level ... 5.35 states/eV/f.u.


(2)
Below is a relaxed Ce4S6Cl crystal, with properties calculated at the PBE level.

Cell: 7.4401 7.4401 7.3495 Å, 59.60 59.61 90.00°
Closest atoms and distances in Å follow each position.
Positions (direct):
Ce (0.8262, 0.8262, 0.7977)  6 S 2.77-2.91, 1 Cl 3.07
Ce (0.1738, 0.6240, 0.2021)  6 S 2.77-2.91, 1 Cl 3.07
Ce (0.6241, 0.1738, 0.2021)  6 S 2.77-2.91, 1 Cl 3.07
Ce (0.3758, 0.3758, 0.7980)  6 S 2.77-2.91, 1 Cl 3.07
S (0.1891, 0.1891, 0.3249)  4 Ce 2.77-2.91
S (0.4999, 0.0000, 0.0000)  4 Ce 2.84
S (0.0000, 0.4999, 0.0000)  4 Ce 2.84
S (0.4866, 0.4866, 0.3245)  4 Ce 2.77-2.91
S (0.5136, 0.8109, 0.6753)  4 Ce 2.77-2.91
S (0.8109, 0.5136, 0.6752)  4 Ce 2.77-2.91
Cl (0.0001, 0.0001, 0.0000)  4 Ce 3.07

Values from the calculation:
Density of states at the Fermi level ... 20.50 states/eV/f.u.


(3)
Below is a relaxed CeSCl3 crystal, with properties calculated at the PBE level.

Cell: 6.6947 6.6941 8.8533 Å, 101.28 53.73 81.41°
Closest atoms and distances in Å follow each position.
Positions (direct):
Cl (0.3308, 0.0838, 0.5126)  2 Ce 2.78-2.79
Cl (0.4698, 0.5506, 0.4951)  2 Ce 2.75-2.81
Cl (0.8758, 0.9516, 0.4931)  2 Ce 2.76-2.82
Cl (0.5507, 0.2448, 0.9861)  2 Ce 2.76-2.82
Cl (0.9566, 0.6458, 0.9840)  2 Ce 2.75-2.81
Cl (0.0956, 0.1126, 0.9666)  2 Ce 2.78-2.79
Ce (0.9905, 0.8766, 0.7411)  6 Cl 2.75-2.82, 2 S 2.99
Ce (0.4358, 0.3198, 0.7381)  6 Cl 2.75-2.82, 2 S 2.99
S (0.5491, 0.7035, 0.8678)  1 S 1.97
S (0.8774, 0.4930, 0.6112)  1 S 1.97

Values from the calculation:
Density of states at the Fermi level ... 4.92 states/eV/f.u.


(4)
Below is a relaxed CeS6Cl12 crystal, with properties calculated at the PBE level.

Cell: 13.5398 13.5395 13.5400 Å, 32.53 32.53 32.53°
Closest atoms and distances in Å follow each position.
Positions (direct):
S (0.8871, 0.7893, 0.5657)  1 Cl 2.13, 2 S 2.16
S (0.4343, 0.1129, 0.2107)  1 Cl 2.13, 2 S 2.16
S (0.2107, 0.4343, 0.1129)  1 Cl 2.13, 2 S 2.16
S (0.1129, 0.2107, 0.4343)  1 Cl 2.13, 2 S 2.16
S (0.7893, 0.5657, 0.8871)  1 Cl 2.13, 2 S 2.16
S (0.5657, 0.8871, 0.7893)  1 Cl 2.13, 2 S 2.16
Cl (0.2670, 0.4765, 0.8794)  1 S 2.13
Cl (0.1306, 0.2665, 0.7235)  1 Ce 2.64
Cl (0.4765, 0.8794, 0.2670)  1 S 2.13
Cl (0.1206, 0.7330, 0.5235)  1 S 2.13
Cl (0.7235, 0.1306, 0.2665)  1 Ce 2.64
Cl (0.2765, 0.8694, 0.7335)  1 Ce 2.64
Cl (0.8794, 0.2670, 0.4765)  1 S 2.13
Cl (0.2665, 0.7235, 0.1306)  1 Ce 2.64
Cl (0.5235, 0.1206, 0.7330)  1 S 2.13
Cl (0.7330, 0.5235, 0.1206)  1 S 2.13
Cl (0.7335, 0.2765, 0.8694)  1 Ce 2.64
Cl (0.8694, 0.7335, 0.2765)  1 Ce 2.64
Ce (0.0000, 0.0000, 0.0000)  6 Cl 2.64


(5)
Below is a relaxed Ce3SCl7 crystal, with properties calculated at the PBE level.

Cell: 6.4435 8.5208 8.5208 Å, 120.00 90.00 90.00°
Closest atoms and distances in Å follow each position.
Positions (direct):
Cl (0.5618, 0.3596, 0.1798)  2 Ce 2.78
Cl (0.0099, 0.6667, 0.3333)  3 Ce 2.95
Cl (0.0075, 0.6451, 0.8226)  2 Ce 2.77
Cl (0.0075, 0.1774, 0.3549)  2 Ce 2.77
Cl (0.5618, 0.8202, 0.1798)  2 Ce 2.78
Cl (0.5618, 0.8202, 0.6404)  2 Ce 2.78
Cl (0.0075, 0.1774, 0.8226)  2 Ce 2.77
Ce (0.7769, 0.4947, 0.9895)  1 S 2.74, 5 Cl 2.77-2.95
Ce (0.7769, 0.4947, 0.5053)  1 S 2.74, 5 Cl 2.77-2.95
Ce (0.7769, 0.0105, 0.5053)  1 S 2.74, 5 Cl 2.77-2.95
S (0.5667, 0.3333, 0.6667)  3 Ce 2.74

Values from the calculation:
Density of states at the Fermi level ... 17.45 states/eV/f.u.


(6)
Below is a relaxed Ce2SCl crystal, with properties calculated at the PBE level.

Cell: 3.8893 3.8893 7.6960 Å, 75.36 75.36 60.00°
Closest atoms and distances in Å follow each position.
Positions (direct):
Ce (0.0738, 0.0738, 0.7786)  3 S 2.76, 3 Cl 3.01
Ce (0.2605, 0.2605, 0.2186)  3 S 2.77, 3 Cl 3.08
S (0.6675, 0.6675, 0.9975)  6 Ce 2.76-2.77
Cl (0.4982, 0.4982, 0.5053)  6 Ce 3.01-3.08

Values from the calculation:
Density of states at the Fermi level ... 10.49 states/eV/f.u.


(7)
Below is a relaxed Ce2SCl crystal, with properties calculated at the PBE level.

Cell: 6.9454 6.9580 9.0002 Å, 104.86 104.81 109.70°
Closest atoms and distances in Å follow each position.
Positions (direct):
Ce (0.1834, 0.9422, 0.3752)  3 S 2.79-2.83, 3 Cl 2.85-2.89
Ce (0.0580, 0.2993, 0.1252)  3 S 2.79-2.80, 3 Cl 2.88-2.89
Ce (0.6918, 0.4330, 0.3752)  3 S 2.79-2.83, 3 Cl 2.85-2.89
Ce (0.5672, 0.8260, 0.1252)  3 S 2.79-2.80, 3 Cl 2.88-2.89
Ce (0.9420, 0.7007, 0.8748)  3 S 2.79-2.80, 3 Cl 2.88-2.89
Ce (0.8166, 0.0578, 0.6248)  3 S 2.79-2.83, 3 Cl 2.85-2.89
Ce (0.3082, 0.5670, 0.6248)  3 S 2.79-2.83, 3 Cl 2.85-2.89
Ce (0.4328, 0.1740, 0.8748)  3 S 2.79-2.80, 3 Cl 2.88-2.89
S (0.0616, 0.8116, 0.6233)  6 Ce 2.79-2.83
S (0.3133, 0.0633, 0.1266)  6 Ce 2.79-2.83
S (0.6867, 0.9367, 0.8734)  6 Ce 2.79-2.83
S (0.9384, 0.1884, 0.3767)  6 Ce 2.79-2.83
Cl (0.8119, 0.5619, 0.1239)  6 Ce 2.85-2.89
Cl (0.4369, 0.6869, 0.3737)  6 Ce 2.85-2.89
Cl (0.5631, 0.3131, 0.6263)  6 Ce 2.85-2.89
Cl (0.1881, 0.4381, 0.8761)  6 Ce 2.85-2.89

Values from the calculation:
Density of states at the Fermi level ... 10.30 states/eV/f.u.


(8)
Below is a relaxed Ce2SCl4 crystal, with properties calculated at the PBE level.

Cell: 4.8221 8.7853 8.7853 Å, 90.00 90.00 90.00°
Closest atoms and distances in Å follow each position.
Positions (direct):
Cl (0.0000, 0.3084, 0.0464)  3 Ce 2.94-2.95, 1 Cl 3.26
Cl (0.5000, 0.8084, 0.4536)  3 Ce 2.94-2.95, 1 Cl 3.26
Cl (0.5000, 0.1916, 0.5464)  3 Ce 2.94-2.95, 1 Cl 3.26
Cl (0.0000, 0.0464, 0.3084)  3 Ce 2.94-2.95, 1 Cl 3.26
Cl (0.0000, 0.6916, 0.9536)  3 Ce 2.94-2.95, 1 Cl 3.26
Cl (0.0000, 0.9536, 0.6916)  3 Ce 2.94-2.95, 1 Cl 3.26
Cl (0.5000, 0.5464, 0.1916)  3 Ce 2.94-2.95, 1 Cl 3.26
Cl (0.5000, 0.4536, 0.8084)  3 Ce 2.94-2.95, 1 Cl 3.26
Ce (0.5000, 0.7887, 0.7887)  1 S 2.63, 4 Cl 2.94
Ce (0.0000, 0.7113, 0.2887)  1 S 2.63, 4 Cl 2.94
Ce (0.0000, 0.2887, 0.7113)  1 S 2.63, 4 Cl 2.94
Ce (0.5000, 0.2113, 0.2113)  1 S 2.63, 4 Cl 2.94
S (0.5000, 0.0000, 0.0000)  2 Ce 2.63
S (0.0000, 0.5000, 0.5000)  2 Ce 2.63

Values from the calculation:
Density of states at the Fermi level ... 16.20 states/eV/f.u.


(9)
Below is a relaxed Ce6SCl8 crystal, with properties calculated at the PBE level.

Cell: 6.9814 6.9814 10.6264 Å, 70.82 70.82 60.00°
Closest atoms and distances in Å follow each position.
Positions (direct):
Cl (0.8904, 0.2236, 0.3286)  3 Ce 2.86-2.90
Cl (0.4426, 0.1096, 0.6714)  3 Ce 2.86-2.90
Cl (0.2236, 0.5574, 0.3286)  3 Ce 2.86-2.90
Cl (0.5574, 0.8904, 0.3286)  3 Ce 2.86-2.90
Cl (0.6667, 0.6667, 0.0000)  6 Ce 2.81
Cl (0.7764, 0.4426, 0.6714)  3 Ce 2.86-2.90
Cl (0.1096, 0.7764, 0.6714)  3 Ce 2.86-2.90
Cl (0.3333, 0.3333, 0.0000)  6 Ce 2.81
Ce (0.2763, 0.9477, 0.1571)  1 S 2.77, 5 Cl 2.81-2.90
Ce (0.0523, 0.3810, 0.8429)  1 S 2.77, 5 Cl 2.81-2.90
Ce (0.3810, 0.7237, 0.8429)  1 S 2.77, 5 Cl 2.81-2.90
Ce (0.9477, 0.6190, 0.1571)  1 S 2.77, 5 Cl 2.81-2.90
Ce (0.7237, 0.0523, 0.8429)  1 S 2.77, 5 Cl 2.81-2.90
Ce (0.6190, 0.2763, 0.1571)  1 S 2.77, 5 Cl 2.81-2.90
S (0.0000, 0.0000, 0.0000)  6 Ce 2.77

Values from the calculation:
Density of states at the Fermi level ... 30.55 states/eV/f.u.


(10)
Below is a relaxed Ce2S2Cl crystal, with properties calculated at the PBE level.

Cell: 3.8913 7.5015 8.4322 Å, 90.00 103.34 90.00°
Closest atoms and distances in Å follow each position.
Positions (direct):
Cl (0.6306, 0.5918, 0.2612)  5 Ce 2.97-3.28, 1 S 3.25
Cl (0.3694, 0.0918, 0.7388)  5 Ce 2.97-3.28, 1 S 3.25
S (0.8194, 0.4615, 0.6388)  5 Ce 2.85-2.90
S (0.1806, 0.9615, 0.3612)  5 Ce 2.85-2.90
S (0.9682, 0.7615, 0.9364)  5 Ce 2.87-2.90
S (0.0318, 0.2615, 0.0636)  5 Ce 2.87-2.90
Ce (0.2049, 0.3408, 0.4098)  4 S 2.85-2.90, 2 Cl 2.97
Ce (0.4502, 0.4789, 0.9004)  6 S 2.87-2.90, 2 Cl 3.08-3.19
Ce (0.7951, 0.8408, 0.5902)  4 S 2.85-2.90, 2 Cl 2.97
Ce (0.5498, 0.9789, 0.0996)  6 S 2.87-2.90, 2 Cl 3.08-3.19

Values from the calculation:
Density of states at the Fermi level ... 10.78 states/eV/f.u.


(11)
Below is a relaxed CeS4Cl4 crystal, with properties calculated at the PBE level.

Cell: 4.0467 11.1735 7.4076 Å, 103.60 75.96 113.36°
Closest atoms and distances in Å follow each position.
Positions (direct):
Cl (0.7193, 0.7491, 0.1162)  1 Ce 2.56
Cl (0.8564, 0.4692, 0.2463)  2 Ce 2.74
Cl (0.2807, 0.2509, 0.8838)  1 Ce 2.56
Cl (0.1436, 0.5308, 0.7537)  2 Ce 2.74
S (0.5450, 0.9533, 0.6874)  1 S 1.90
S (0.4550, 0.0467, 0.3126)  1 S 1.90
S (0.8502, 0.1357, 0.4479)  1 S 1.90
S (0.1498, 0.8643, 0.5521)  1 S 1.90
Ce (0.5000, 0.5000, 0.0000)  6 Cl 2.56-2.74

Values from the calculation:
Density of states at the Fermi level ... 5.79 states/eV/f.u.


(12)
Below is a relaxed CeS6Cl2 crystal, with properties calculated at the PBE level.

Cell: 4.4476 8.0420 8.1116 Å, 118.39 94.80 94.37°
Closest atoms and distances in Å follow each position.
Positions (direct):
S (0.0759, 0.2047, 0.4399)  1 S 1.98
S (0.6676, 0.6642, 0.6637)  2 S 1.98
S (0.3324, 0.3358, 0.3363)  2 S 1.98
S (0.0737, 0.4425, 0.2082)  1 S 1.98
S (0.9241, 0.7953, 0.5601)  1 S 1.98
S (0.9263, 0.5575, 0.7918)  1 S 1.98
Cl (0.5012, 0.8760, 0.1203)  2 Ce 2.80
Cl (0.4988, 0.1240, 0.8797)  2 Ce 2.80
Ce (0.0000, 0.0000, 0.0000)  4 Cl 2.80, 6 S 2.94-3.11

Values from the calculation:
Density of states at the Fermi level ... 3.59 states/eV/f.u.


Per-record magnetization, μB per formula unit: 0.40; 3.02; 1.04; 0.00; 3.00; 2.36; 1.39; 2.00; 5.52; 2.75; 0.36; 0.31
Per-record calculated total energy, eV/atom: -4.757; -6.463; -4.819; -3.247; -5.294; -6.131; -6.192; -5.329; -5.483; -6.370; -4.299; -4.450